First-principles (PBE-GGA) data for a geometry-optimized AcFeNiP2 structure, as listed in Alexandria via LeMat-Bulk.

## Properties
Energy of formation from the pure elements, meV/atom: -892

a = 6.427 Å, b = 6.427 Å, c = 6.427 Å
α = 145.24°, β = 145.24°, γ = 49.98°
Positions (direct):
Ac 0.000 0.000 0.000
Fe 0.750 0.250 0.500
Ni 0.250 0.750 0.500
P 0.350 0.350 0.000
P 0.650 0.650 0.000



First-principles (PBE-GGA) data for a geometry-optimized AcFeSi2Ni structure, as listed in Alexandria via LeMat-Bulk.

## Properties
Energy relative to the elements, uncorrected, eV per atom: -0.5745

a = 6.018 Å, b = 6.018 Å, c = 6.018 Å
α = 140.21°, β = 140.21°, γ = 57.54°
Positions (direct):
Ac 0.000 0.000 0.000
Fe 0.750 0.250 0.500
Si 0.353 0.353 0.000
Si 0.647 0.647 0.000
Ni 0.250 0.750 0.500



Per-record magnetic moment, μB per cell: 1.06; 1.15